SrYRe: relaxed, PBE-GGA.

abc: 7.456 7.457 3.496
angles: 76.44 76.44 27.12
Atoms (fractional coordinates):
Re1 0.012 0.012 0.988
Sr1 0.367 0.367 0.633
Y1 0.621 0.621 0.379

Summary:
Energy of formation, meV per atom: 604
Electronic total energy, eV/atom: -6.26
Polymorph energy (0 for the lowest one), meV/atom: 0